Entry a
MoW2Cl | PBE | relaxed

Geometry as CIF:
```
data_MoW2Cl
_chemical_formula_sum 'Mo1 W2 Cl1'
_symmetry_space_group_name_H-M 'P 1'
_symmetry_Int_Tables_number 1
_symmetry_space_group_name_Hall 'P 1'
_cell_length_a 8.7696
_cell_length_b 8.7696
_cell_length_c 8.7696
_cell_angle_alpha 19.39
_cell_angle_beta 19.39
_cell_angle_gamma 19.39
loop_
_atom_site_label
_atom_site_fract_x
_atom_site_fract_y
_atom_site_fract_z
Mo1 0.0000 0.0000 0.0000
W1 0.2508 0.2508 0.2508
W2 0.7492 0.7492 0.7492
Cl1 0.5000 0.5000 0.5000
```

Computed properties:
- DOS(E_F): 4.0 states/eV per cell


Entry b
MoW2Cl | PBE | relaxed

Geometry as CIF:
```
data_MoW2Cl
_chemical_formula_sum 'Mo1 W2 Cl1'
_symmetry_space_group_name_H-M 'P 1'
_symmetry_Int_Tables_number 1
_symmetry_space_group_name_Hall 'P 1'
_cell_length_a 2.8379
_cell_length_b 2.8379
_cell_length_c 8.8096
_cell_angle_alpha 90.00
_cell_angle_beta 90.00
_cell_angle_gamma 112.01
loop_
_atom_site_label
_atom_site_fract_x
_atom_site_fract_y
_atom_site_fract_z
Mo1 0.0000 0.0000 0.0000
W1 0.0000 0.0000 0.4880
W2 0.5000 0.5000 0.2443
Cl1 0.5000 0.5000 0.7496
```

Computed properties:
- DOS(E_F): 3.1 states/eV per cell


Entry c
MoW2Cl | PBE | relaxed

Geometry as CIF:
```
data_MoW2Cl
_chemical_formula_sum 'Mo1 W2 Cl1'
_symmetry_space_group_name_H-M 'P 1'
_symmetry_Int_Tables_number 1
_symmetry_space_group_name_Hall 'P 1'
_cell_length_a 3.7180
_cell_length_b 3.7180
_cell_length_c 4.7672
_cell_angle_alpha 90.00
_cell_angle_beta 90.00
_cell_angle_gamma 90.00
loop_
_atom_site_label
_atom_site_fract_x
_atom_site_fract_y
_atom_site_fract_z
Mo1 0.0000 0.0000 0.0000
W1 0.0000 0.5000 0.5000
W2 0.5000 0.0000 0.5000
Cl1 0.5000 0.5000 0.0000
```

Computed properties:
- DOS(E_F): 4.5 states/eV per cell


Entry d
MoW2Cl | PBE | relaxed

Geometry as CIF:
```
data_MoW2Cl
_chemical_formula_sum 'Mo1 W2 Cl1'
_symmetry_space_group_name_H-M 'P 1'
_symmetry_Int_Tables_number 1
_symmetry_space_group_name_Hall 'P 1'
_cell_length_a 4.5052
_cell_length_b 4.5052
_cell_length_c 4.5052
_cell_angle_alpha 60.00
_cell_angle_beta 60.00
_cell_angle_gamma 60.00
loop_
_atom_site_label
_atom_site_fract_x
_atom_site_fract_y
_atom_site_fract_z
Mo1 0.0000 0.0000 0.0000
W1 0.2500 0.2500 0.2500
W2 0.7500 0.7500 0.7500
Cl1 0.5000 0.5000 0.5000
```

Computed properties:
- DOS(E_F): 7.5 states/eV per cell


Most stable: entry b. Least stable: entry c.


Entry a
MoW2Cl | PBE | relaxed

Geometry as CIF:
```
data_MoW2Cl
_chemical_formula_sum 'Mo1 W2 Cl1'
_symmetry_space_group_name_H-M 'P 1'
_symmetry_Int_Tables_number 1
_symmetry_space_group_name_Hall 'P 1'
_cell_length_a 4.5135
_cell_length_b 4.5135
_cell_length_c 4.5135
_cell_angle_alpha 60.00
_cell_angle_beta 60.00
_cell_angle_gamma 60.00
loop_
_atom_site_label
_atom_site_fract_x
_atom_site_fract_y
_atom_site_fract_z
Mo1 0.0000 0.0000 0.0000
W1 0.5000 0.5000 0.5000
W2 0.7500 0.7500 0.7500
Cl1 0.2500 0.2500 0.2500
```

Computed properties:
- DOS(E_F): 4.4 states/eV per cell


Entry b
MoW2Cl | PBE | relaxed

Geometry as CIF:
```
data_MoW2Cl
_chemical_formula_sum 'Mo1 W2 Cl1'
_symmetry_space_group_name_H-M 'P 1'
_symmetry_Int_Tables_number 1
_symmetry_space_group_name_Hall 'P 1'
_cell_length_a 2.7872
_cell_length_b 4.4798
_cell_length_c 5.3012
_cell_angle_alpha 90.00
_cell_angle_beta 100.67
_cell_angle_gamma 90.00
loop_
_atom_site_label
_atom_site_fract_x
_atom_site_fract_y
_atom_site_fract_z
Mo1 0.0000 0.0000 0.0000
W1 0.2727 0.5000 0.7581
W2 0.7273 0.5000 0.2419
Cl1 0.0000 0.0000 0.5000
```

Computed properties:
- DOS(E_F): 3.0 states/eV per cell


Entry c
MoW2Cl | PBE | relaxed

Geometry as CIF:
```
data_MoW2Cl
_chemical_formula_sum 'Mo1 W2 Cl1'
_symmetry_space_group_name_H-M 'P 1'
_symmetry_Int_Tables_number 1
_symmetry_space_group_name_Hall 'P 1'
_cell_length_a 5.2233
_cell_length_b 5.2233
_cell_length_c 2.7649
_cell_angle_alpha 90.00
_cell_angle_beta 90.00
_cell_angle_gamma 119.45
loop_
_atom_site_label
_atom_site_fract_x
_atom_site_fract_y
_atom_site_fract_z
Mo1 0.0000 0.0000 0.0000
W1 0.0000 0.5000 0.5000
W2 0.5000 0.0000 0.5000
Cl1 0.5000 0.5000 0.0000
```

Computed properties:
- DOS(E_F): 4.3 states/eV per cell


Most stable: entry b. Least stable: entry a.


Entry a
MoW2Cl | PBE | relaxed

Geometry as CIF:
```
data_MoW2Cl
_chemical_formula_sum 'Mo1 W2 Cl1'
_symmetry_space_group_name_H-M 'P 1'
_symmetry_Int_Tables_number 1
_symmetry_space_group_name_Hall 'P 1'
_cell_length_a 5.3436
_cell_length_b 5.3436
_cell_length_c 5.3436
_cell_angle_alpha 139.03
_cell_angle_beta 139.03
_cell_angle_gamma 59.33
loop_
_atom_site_label
_atom_site_fract_x
_atom_site_fract_y
_atom_site_fract_z
Mo1 0.0000 0.0000 0.0000
W1 0.2500 0.7500 0.5000
W2 0.7500 0.2500 0.5000
Cl1 0.5000 0.5000 0.0000
```

Computed properties:
- DOS(E_F): 5.1 states/eV per cell


Entry b
MoW2Cl | PBE | relaxed

Geometry as CIF:
```
data_MoW2Cl
_chemical_formula_sum 'Mo1 W2 Cl1'
_symmetry_space_group_name_H-M 'P 1'
_symmetry_Int_Tables_number 1
_symmetry_space_group_name_Hall 'P 1'
_cell_length_a 5.2268
_cell_length_b 5.2268
_cell_length_c 4.4163
_cell_angle_alpha 90.82
_cell_angle_beta 90.82
_cell_angle_gamma 33.30
loop_
_atom_site_label
_atom_site_fract_x
_atom_site_fract_y
_atom_site_fract_z
Mo1 0.0000 0.0000 0.0000
W1 0.2794 0.2794 0.7741
W2 0.7206 0.7206 0.2259
Cl1 0.5000 0.5000 0.5000
```

Computed properties:
- DOS(E_F): 2.6 states/eV per cell


Most stable: entry b. Least stable: entry a.


Entry a
MoWCl | PBE | relaxed

Geometry as CIF:
```
data_MoWCl
_chemical_formula_sum 'Mo1 W1 Cl1'
_symmetry_space_group_name_H-M 'P 1'
_symmetry_Int_Tables_number 1
_symmetry_space_group_name_Hall 'P 1'
_cell_length_a 2.8875
_cell_length_b 2.8875
_cell_length_c 6.5893
_cell_angle_alpha 90.00
_cell_angle_beta 90.00
_cell_angle_gamma 120.00
loop_
_atom_site_label
_atom_site_fract_x
_atom_site_fract_y
_atom_site_fract_z
Mo1 0.0000 0.0000 0.0000
W1 0.3333 0.6667 0.3471
Cl1 0.6667 0.3333 0.6844
```

Computed properties:
- DOS(E_F): 3.5 states/eV per cell


Entry b
MoWCl | PBE | relaxed

Geometry as CIF:
```
data_MoWCl
_chemical_formula_sum 'Mo1 W1 Cl1'
_symmetry_space_group_name_H-M 'P 1'
_symmetry_Int_Tables_number 1
_symmetry_space_group_name_Hall 'P 1'
_cell_length_a 5.9647
_cell_length_b 5.9647
_cell_length_c 5.9647
_cell_angle_alpha 150.89
_cell_angle_beta 150.89
_cell_angle_gamma 41.64
loop_
_atom_site_label
_atom_site_fract_x
_atom_site_fract_y
_atom_site_fract_z
Mo1 0.0000 0.0000 0.0000
W1 0.6442 0.6442 0.0000
Cl1 0.3228 0.3228 0.0000
```

Computed properties:
- DOS(E_F): 4.1 states/eV per cell


Entry c
MoWCl | PBE | relaxed

Geometry as CIF:
```
data_MoWCl
_chemical_formula_sum 'Mo1 W1 Cl1'
_symmetry_space_group_name_H-M 'P 1'
_symmetry_Int_Tables_number 1
_symmetry_space_group_name_Hall 'P 1'
_cell_length_a 4.7836
_cell_length_b 4.7836
_cell_length_c 4.7836
_cell_angle_alpha 145.94
_cell_angle_beta 126.69
_cell_angle_gamma 64.79
loop_
_atom_site_label
_atom_site_fract_x
_atom_site_fract_y
_atom_site_fract_z
Mo1 0.0000 0.0000 0.0000
W1 0.6672 0.6672 0.0000
Cl1 0.3491 0.3491 0.0000
```

Computed properties:
- DOS(E_F): 2.5 states/eV per cell


Entry d
MoWCl | PBE | relaxed

Geometry as CIF:
```
data_MoWCl
_chemical_formula_sum 'Mo1 W1 Cl1'
_symmetry_space_group_name_H-M 'P 1'
_symmetry_Int_Tables_number 1
_symmetry_space_group_name_Hall 'P 1'
_cell_length_a 4.2880
_cell_length_b 4.2880
_cell_length_c 4.2880
_cell_angle_alpha 60.00
_cell_angle_beta 60.00
_cell_angle_gamma 60.00
loop_
_atom_site_label
_atom_site_fract_x
_atom_site_fract_y
_atom_site_fract_z
Mo1 0.0000 0.0000 0.0000
W1 0.2500 0.2500 0.2500
Cl1 0.7500 0.7500 0.7500
```

Computed properties:
- DOS(E_F): 3.3 states/eV per cell


Most stable: entry a. Least stable: entry d.


Entry a
MoWCl3 | PBE | relaxed

Geometry as CIF:
```
data_MoWCl3
_chemical_formula_sum 'Mo1 W1 Cl3'
_symmetry_space_group_name_H-M 'P 1'
_symmetry_Int_Tables_number 1
_symmetry_space_group_name_Hall 'P 1'
_cell_length_a 5.0447
_cell_length_b 5.0447
_cell_length_c 5.0447
_cell_angle_alpha 90.00
_cell_angle_beta 90.00
_cell_angle_gamma 90.00
loop_
_atom_site_label
_atom_site_fract_x
_atom_site_fract_y
_atom_site_fract_z
Mo1 0.0000 0.0000 0.0000
W1 0.5000 0.5000 0.5000
Cl1 0.0000 0.0000 0.5000
Cl2 0.0000 0.5000 0.0000
Cl3 0.5000 0.0000 0.0000
```

Computed properties:
- DOS(E_F): 12.3 states/eV per cell


Entry b
MoWCl3 | PBE | relaxed

Geometry as CIF:
```
data_MoWCl3
_chemical_formula_sum 'Mo1 W1 Cl3'
_symmetry_space_group_name_H-M 'P 1'
_symmetry_Int_Tables_number 1
_symmetry_space_group_name_Hall 'P 1'
_cell_length_a 4.9149
_cell_length_b 4.9149
_cell_length_c 4.9149
_cell_angle_alpha 90.00
_cell_angle_beta 90.00
_cell_angle_gamma 90.00
loop_
_atom_site_label
_atom_site_fract_x
_atom_site_fract_y
_atom_site_fract_z
Mo1 0.0000 0.0000 0.0000
W1 0.5000 0.5000 0.5000
Cl1 0.0000 0.5000 0.5000
Cl2 0.5000 0.0000 0.5000
Cl3 0.5000 0.5000 0.0000
```

Computed properties:
- DOS(E_F): 2.2 states/eV per cell


Most stable: entry b. Least stable: entry a.


Entry a
YMo2Cl | PBE | relaxed

Geometry as CIF:
```
data_YMo2Cl
_chemical_formula_sum 'Y1 Mo2 Cl1'
_symmetry_space_group_name_H-M 'P 1'
_symmetry_Int_Tables_number 1
_symmetry_space_group_name_Hall 'P 1'
_cell_length_a 9.0510
_cell_length_b 9.0510
_cell_length_c 9.0510
_cell_angle_alpha 21.37
_cell_angle_beta 21.37
_cell_angle_gamma 21.37
loop_
_atom_site_label
_atom_site_fract_x
_atom_site_fract_y
_atom_site_fract_z
Y1 0.0000 0.0000 0.0000
Mo1 0.2403 0.2403 0.2403
Mo2 0.5152 0.5152 0.5152
Cl1 0.7417 0.7417 0.7417
```

Computed properties:
- DOS(E_F): 3.0 states/eV per cell


Entry b
YMo2Cl | PBE | relaxed

Geometry as CIF:
```
data_YMo2Cl
_chemical_formula_sum 'Y1 Mo2 Cl1'
_symmetry_space_group_name_H-M 'P 1'
_symmetry_Int_Tables_number 1
_symmetry_space_group_name_Hall 'P 1'
_cell_length_a 2.9024
_cell_length_b 2.9024
_cell_length_c 8.9780
_cell_angle_alpha 90.00
_cell_angle_beta 90.00
_cell_angle_gamma 90.00
loop_
_atom_site_label
_atom_site_fract_x
_atom_site_fract_y
_atom_site_fract_z
Y1 0.0000 0.0000 0.0000
Mo1 0.5000 0.5000 0.2748
Mo2 0.5000 0.5000 0.7252
Cl1 0.0000 0.0000 0.5000
```

Computed properties:
- DOS(E_F): 3.4 states/eV per cell


Most stable: entry a. Least stable: entry b.